Computed, not measured: BeV2Sn after structural relaxation at the GGA-PBE level of DFT.

a b c (Å): 4.0847 4.0847 12.6728
angles (deg): 90.00 90.00 120.00
Space group R-3m (No. 166, hexagonal axes)
Symmetry-distinct sites (fractional):
Be 0.0000 0.0000 0.0000
V 0.0000 0.0000 0.2841
Sn 0.0000 0.0000 0.5000

Values from the calculation:
ΔE to the lowest computed polymorph, meV per atom: 0
Calculated formation energy, eV per atom: 0.28
Energy, eV/atom: -6.21
D(E_F), states/eV/cell: 12.9